Entry 1:
# CdSiOs2, relaxed, DFT PBE
# N(E_F)   2.907 states/eV/cell
# DFT total energy   -0.500 Ry per atom
# V   62.9 Å³ per cell
data_CdSiOs2
_symmetry_space_group_name_H-M 'P 1'
_symmetry_Int_Tables_number 1
_symmetry_space_group_name_Hall 'P 1'
_cell_length_a 2.893
_cell_length_b 4.288
_cell_length_c 5.252
_cell_angle_alpha 90.00
_cell_angle_beta 105.18
_cell_angle_gamma 90.00
loop_
_atom_site_label
_atom_site_type_symbol
_atom_site_fract_x
_atom_site_fract_y
_atom_site_fract_z
Cd1 Cd 0.000 0.000 0.000
Si1 Si 0.385 0.500 0.750
Os1 Os 0.268 0.000 0.520
Os2 Os 0.682 0.500 0.333

=====

Entry 2:
# Cd4SiOs, relaxed, DFT PBE
# N(E_F)   4.642 states/eV/cell
# DFT total energy   -0.189 Ry per atom
# V   117.5 Å³ per cell
data_Cd4SiOs
_symmetry_space_group_name_H-M 'P 1'
_symmetry_Int_Tables_number 1
_symmetry_space_group_name_Hall 'P 1'
_cell_length_a 5.497
_cell_length_b 5.497
_cell_length_c 5.497
_cell_angle_alpha 60.00
_cell_angle_beta 60.00
_cell_angle_gamma 60.00
loop_
_atom_site_label
_atom_site_type_symbol
_atom_site_fract_x
_atom_site_fract_y
_atom_site_fract_z
Cd1 Cd 0.125 0.125 0.125
Cd2 Cd 0.125 0.125 0.626
Cd3 Cd 0.125 0.626 0.125
Cd4 Cd 0.626 0.125 0.125
Si1 Si 0.500 0.500 0.500
Os1 Os 0.750 0.750 0.750

=====

Entry 3:
# CdSiOs2, relaxed, DFT PBE
# N(E_F)   3.294 states/eV/cell
# DFT total energy   -0.483 Ry per atom
# V   60.9 Å³ per cell
data_CdSiOs2
_symmetry_space_group_name_H-M 'P 1'
_symmetry_Int_Tables_number 1
_symmetry_space_group_name_Hall 'P 1'
_cell_length_a 4.871
_cell_length_b 4.871
_cell_length_c 4.871
_cell_angle_alpha 132.90
_cell_angle_beta 132.90
_cell_angle_gamma 68.81
loop_
_atom_site_label
_atom_site_type_symbol
_atom_site_fract_x
_atom_site_fract_y
_atom_site_fract_z
Cd1 Cd 0.000 0.000 0.000
Si1 Si 0.750 0.250 0.500
Os1 Os 0.250 0.750 0.500
Os2 Os 0.500 0.500 0.000